Density functional theory data (PBE) for crystalline CsAgSb2Se4 at its relaxed geometry.

Properties
total magnetization = 0.00 μB/atom
energy = -3.639 eV per atom
space-group type = No. 63
Fermi-level density of states = 3.95 states/eV/cell

a b c (Å): 4.3390 7.4603 15.6560
angles (deg): 90.00 90.00 106.91
Fractional coordinates of all 16 atoms:
Cs 0.1101 0.2202 0.7500
Cs 0.8899 0.7798 0.2500
Ag 0.8291 0.6581 0.7500
Ag 0.1709 0.3419 0.2500
Sb 0.3674 0.7348 0.5574
Sb 0.6326 0.2652 0.0574
Sb 0.6326 0.2652 0.4426
Sb 0.3674 0.7348 0.9426
Se 0.2611 0.5222 0.0955
Se 0.7389 0.4778 0.5955
Se 0.7389 0.4778 0.9045
Se 0.2611 0.5222 0.4045
Se 0.0000 0.0000 0.5000
Se 0.0000 0.0000 0.0000
Se 0.4199 0.8399 0.7500
Se 0.5801 0.1601 0.2500



Density functional theory data (PBE) for crystalline CsAgSbSe2 at its relaxed geometry.

Properties
total magnetization = 0.00 μB/atom
energy = -3.320 eV per atom
space-group type = No. 67
Fermi-level density of states = 4.18 states/eV/cell

a b c (Å): 5.0429 8.3785 9.6503
angles (deg): 115.73 90.00 90.00
Fractional coordinates of all 10 atoms:
Cs 0.1697 0.7500 0.5000
Cs 0.8303 0.2500 0.5000
Ag 0.0000 0.0000 0.0000
Ag 0.0000 0.5000 0.0000
Sb 0.5000 0.7500 0.0000
Sb 0.5000 0.2500 0.0000
Se 0.6550 0.8924 0.7848
Se 0.6550 0.6076 0.2152
Se 0.3450 0.3924 0.7848
Se 0.3450 0.1076 0.2152



Density functional theory data (PBE) for crystalline Cs2AgSbSe4 at its relaxed geometry.

Properties
total magnetization = 0.00 μB/atom
energy = -3.441 eV per atom
space-group type = No. 70

a b c (Å): 6.6572 8.0344 13.4070
angles (deg): 84.10 75.62 65.53
Fractional coordinates of all 16 atoms:
Cs 0.1805 0.0000 0.6390
Cs 0.8195 0.0000 0.3610
Cs 0.5695 0.5000 0.8610
Cs 0.9305 0.5000 0.1390
Ag 0.7500 0.5000 0.5000
Ag 0.0000 0.0000 0.0000
Sb 0.2500 0.5000 0.5000
Sb 0.5000 0.0000 0.0000
Se 0.3257 0.7975 0.1082
Se 0.2314 0.2025 0.8918
Se 0.8768 0.7975 0.8918
Se 0.5661 0.2025 0.1082
Se 0.4243 0.7025 0.3918
Se 0.5186 0.2975 0.6082
Se 0.8732 0.7025 0.6082
Se 0.1839 0.2975 0.3918



Density functional theory data (PBE) for crystalline CsAg2SbSe4 at its relaxed geometry.

Properties
total magnetization = 0.00 μB/atom
energy = -3.464 eV per atom
space-group type = No. 23

a b c (Å): 6.9308 7.2463 7.2463
angles (deg): 81.53 61.43 61.43
Fractional coordinates of all 8 atoms:
Cs 0.0000 0.0000 0.0000
Ag 0.5000 0.6613 0.3387
Ag 0.5000 0.3387 0.6613
Sb 0.0000 0.5000 0.5000
Se 0.6206 0.5172 0.8316
Se 0.3794 0.1684 0.4828
Se 0.9694 0.4828 0.1684
Se 0.0306 0.8316 0.5172



Density functional theory data (PBE) for crystalline CsAgSbSe3 at its relaxed geometry.

Properties
total magnetization = 0.00 μB/atom
energy = -3.511 eV per atom
space-group type = No. 11
Fermi-level density of states = 9.50 states/eV/cell

a b c (Å): 4.2143 9.6611 10.2839
angles (deg): 111.53 90.00 90.00
Fractional coordinates of all 12 atoms:
Cs 0.7500 0.7848 0.7403
Cs 0.2500 0.2152 0.2597
Ag 0.2500 0.0699 0.5939
Ag 0.7500 0.9301 0.4061
Sb 0.2500 0.6690 0.1371
Sb 0.7500 0.3310 0.8629
Se 0.2500 0.7713 0.4377
Se 0.7500 0.8641 0.1261
Se 0.7500 0.4715 0.1522
Se 0.7500 0.2287 0.5623
Se 0.2500 0.5285 0.8478
Se 0.2500 0.1359 0.8739



Density functional theory data (PBE) for crystalline CsAg2Sb2Se6 at its relaxed geometry.

Properties
total magnetization = 0.00 μB/atom
energy = -3.518 eV per atom
space-group type = No. 2
Fermi-level density of states = 1.74 states/eV/cell

a b c (Å): 7.0885 11.1118 7.4478
angles (deg): 126.94 90.18 71.24
Fractional coordinates of all 11 atoms:
Cs 0.5000 0.0000 0.5000
Ag 0.1547 0.6864 0.7143
Ag 0.8453 0.3136 0.2857
Sb 0.7894 0.4207 0.8778
Sb 0.2106 0.5793 0.1222
Se 0.4329 0.6492 0.9290
Se 0.0836 0.3507 0.0709
Se 0.0843 0.8324 0.5461
Se 0.9164 0.6493 0.9291
Se 0.9157 0.1676 0.4539
Se 0.5671 0.3508 0.0710



Density functional theory data (PBE) for crystalline CsSr2AgSb at its relaxed geometry.

Properties
total magnetization = 0.14 μB/atom
energy = -1.286 eV per atom
space-group type = No. 123
Fermi-level density of states = 4.68 states/eV/cell

a b c (Å): 6.7571 5.9538 6.7571
angles (deg): 90.00 90.00 90.00
Site moments in Bohr magnetons follow the coordinates.
Fractional coordinates of all 5 atoms:
Cs 0.0000 0.0000 0.0000  0.05
Sb 0.0000 0.5000 0.0000  -0.01
Ag 0.5000 0.5000 0.5000  -0.01
Sr 0.0000 0.0000 0.5000  0.09
Sr 0.5000 0.0000 0.0000  0.06



Density functional theory data (PBE) for crystalline CsAgSbTe2 at its relaxed geometry.

Properties
E above lowest polymorph = 0.2567 eV/atom
total magnetization = 0.00 μB/atom
space-group type = No. 123
Fermi-level density of states = 3.81 states/eV/cell

a b c (Å): 5.7720 5.7720 5.3875
angles (deg): 90.00 90.00 90.00
Fractional coordinates of all 5 atoms:
Cs 0.5000 0.5000 0.5000
Sb 0.0000 0.0000 0.5000
Te 0.0000 0.5000 0.0000
Te 0.5000 0.0000 0.0000
Ag 0.0000 0.0000 0.0000



Density functional theory data (PBE) for crystalline CsAgSbTe at its relaxed geometry.

Properties
total magnetization = 0.00 μB/atom
energy = -3.098 eV per atom
space-group type = No. 129
Fermi-level density of states = 6.17 states/eV/cell

a b c (Å): 4.4176 4.4176 15.0638
angles (deg): 90.00 90.00 90.00
Fractional coordinates of all 8 atoms:
Cs 0.7500 0.7500 0.2662
Cs 0.2500 0.2500 0.7338
Ag 0.7500 0.2500 0.0000
Ag 0.2500 0.7500 0.0000
Sb 0.2500 0.7500 0.5000
Sb 0.7500 0.2500 0.5000
Te 0.7500 0.7500 0.8793
Te 0.2500 0.2500 0.1207



Density functional theory data (PBE) for crystalline CsAgSbTe3 at its relaxed geometry.

Properties
total magnetization = 0.00 μB/atom
energy = -3.236 eV per atom
space-group type = No. 11
Fermi-level density of states = 7.94 states/eV/cell

a b c (Å): 4.4222 10.3974 10.8377
angles (deg): 111.94 90.00 90.00
Fractional coordinates of all 12 atoms:
Cs 0.7500 0.7893 0.7423
Cs 0.2500 0.2107 0.2577
Ag 0.2500 0.0650 0.5890
Ag 0.7500 0.9350 0.4110
Sb 0.2500 0.6689 0.1336
Sb 0.7500 0.3311 0.8664
Te 0.2500 0.7740 0.4402
Te 0.7500 0.8702 0.1293
Te 0.7500 0.4754 0.1620
Te 0.7500 0.2260 0.5598
Te 0.2500 0.5246 0.8380
Te 0.2500 0.1298 0.8707



Density functional theory data (PBE) for crystalline CsAgSbTe2 at its relaxed geometry.

Properties
E above lowest polymorph = 0.0000 eV/atom
total magnetization = 0.00 μB/atom
space-group type = No. 67
Fermi-level density of states = 2.26 states/eV/cell

a b c (Å): 7.5825 6.1305 9.1472
angles (deg): 109.58 90.00 90.00
Fractional coordinates of all 10 atoms:
Cs 0.2405 0.7500 0.5000
Cs 0.7595 0.2500 0.5000
Ag 0.0000 0.0000 0.0000
Ag 0.0000 0.5000 0.0000
Sb 0.5000 0.7500 0.0000
Sb 0.5000 0.2500 0.0000
Te 0.7623 0.8850 0.7699
Te 0.7623 0.6150 0.2301
Te 0.2377 0.3850 0.7699
Te 0.2377 0.1150 0.2301



Density functional theory data (PBE) for crystalline CsAgSb2Te at its relaxed geometry.

Properties
E above lowest polymorph = 0.0000 eV/atom
total magnetization = 0.00 μB/atom
space-group type = No. 123
Fermi-level density of states = 4.22 states/eV/cell

a b c (Å): 5.5147 5.5147 5.8470
angles (deg): 90.00 90.00 90.00
Fractional coordinates of all 5 atoms:
Cs 0.5000 0.5000 0.5000
Sb 0.0000 0.5000 0.0000
Sb 0.5000 0.0000 0.0000
Te 0.0000 0.0000 0.5000
Ag 0.0000 0.0000 0.0000



Density functional theory data (PBE) for crystalline CsAgSb2Te at its relaxed geometry.

Properties
E above lowest polymorph = 1.3373 eV/atom
total magnetization = 0.14 μB/atom
space-group type = No. 123
Fermi-level density of states = 6.25 states/eV/cell

a b c (Å): 6.2910 6.2910 6.4607
angles (deg): 90.00 90.00 90.00
Site moments in Bohr magnetons follow the coordinates.
Fractional coordinates of all 5 atoms:
Cs 0.0000 0.0000 0.0000  -0.01
Sb 0.0000 0.5000 0.0000  0.15
Sb 0.5000 0.0000 0.0000  0.15
Te 0.0000 0.0000 0.5000  -0.02
Ag 0.5000 0.5000 0.5000  -0.01



Density functional theory data (PBE) for crystalline CsAg2SbTe4 at its relaxed geometry.

Properties
total magnetization = 0.00 μB/atom
energy = -3.139 eV per atom
space-group type = No. 23
Fermi-level density of states = 0.01 states/eV/cell

a b c (Å): 7.3616 7.6577 7.6577
angles (deg): 80.11 61.27 61.27
Fractional coordinates of all 8 atoms:
Cs 0.0000 0.0000 0.0000
Ag 0.5000 0.6576 0.3424
Ag 0.5000 0.3424 0.6576
Sb 0.0000 0.5000 0.5000
Te 0.6090 0.5167 0.8418
Te 0.3910 0.1582 0.4833
Te 0.9675 0.4833 0.1582
Te 0.0325 0.8418 0.5167



Density functional theory data (PBE) for crystalline CsTiAgSb2 at its relaxed geometry.

Properties
total magnetization = 0.46 μB/atom
energy = -2.121 eV per atom
space-group type = No. 123
Fermi-level density of states = 4.73 states/eV/cell

a b c (Å): 6.1827 5.3923 6.1827
angles (deg): 90.00 90.00 90.00
Site moments in Bohr magnetons follow the coordinates.
Fractional coordinates of all 5 atoms:
Cs 0.0000 0.0000 0.0000  0.08
Sb 0.0000 0.0000 0.5000  -0.12
Sb 0.5000 0.0000 0.0000  -0.14
Ag 0.5000 0.5000 0.5000  0.01
Ti 0.0000 0.5000 0.0000  2.11



Density functional theory data (PBE) for crystalline Cs2ZrAgSb at its relaxed geometry.

Properties
total magnetization = 0.56 μB/atom
energy = -2.637 eV per atom
space-group type = No. 123
Fermi-level density of states = 8.51 states/eV/cell

a b c (Å): 6.8746 5.1765 6.8746
angles (deg): 90.00 90.00 90.00
Site moments in Bohr magnetons follow the coordinates.
Fractional coordinates of all 5 atoms:
Cs 0.0000 0.0000 0.5000  0.02
Cs 0.5000 0.0000 0.0000  0.02
Sb 0.0000 0.5000 0.0000  -0.04
Zr 0.5000 0.5000 0.5000  1.65
Ag 0.0000 0.0000 0.0000  0.00



Density functional theory data (PBE) for crystalline CsScAg3 at its relaxed geometry.

Properties
formation energy = 0.402 eV/atom
E above lowest polymorph = 0.0000 eV/atom
total magnetization = 0.00 μB/atom
space-group type = No. 221
Fermi-level density of states = 5.32 states/eV/cell

a b c (Å): 5.5711 5.5711 5.5711
angles (deg): 90.00 90.00 90.00
Fractional coordinates of all 5 atoms:
Cs 0.5000 0.5000 0.5000
Sc 0.0000 0.0000 0.0000
Ag 0.0000 0.5000 0.0000
Ag 0.0000 0.0000 0.5000
Ag 0.5000 0.0000 0.0000



Density functional theory data (PBE) for crystalline CsScAg3 at its relaxed geometry.

Properties
formation energy = 1.393 eV/atom
E above lowest polymorph = 0.9916 eV/atom
total magnetization = 0.14 μB/atom
space-group type = No. 221
Fermi-level density of states = 8.19 states/eV/cell

a b c (Å): 5.8323 5.8323 5.8323
angles (deg): 90.00 90.00 90.00
Site moments in Bohr magnetons follow the coordinates.
Fractional coordinates of all 5 atoms:
Cs 0.0000 0.0000 0.0000  -0.01
Sc 0.5000 0.5000 0.5000  0.52
Ag 0.0000 0.5000 0.0000  -0.02
Ag 0.0000 0.0000 0.5000  -0.03
Ag 0.5000 0.0000 0.0000  0.01



Density functional theory data (PBE) for crystalline Cs2ScAg2 at its relaxed geometry.

Properties
formation energy = 0.351 eV/atom
total magnetization = 0.04 μB/atom
space-group type = No. 127
Fermi-level density of states = 9.71 states/eV/cell

a b c (Å): 7.7771 7.7771 6.1167
angles (deg): 90.00 90.00 90.00
Site moments in Bohr magnetons follow the coordinates.
Fractional coordinates of all 10 atoms:
Cs 0.6739 0.1739 0.5000  0.00
Cs 0.8261 0.6739 0.5000  0.00
Cs 0.3261 0.8261 0.5000  0.00
Cs 0.1739 0.3261 0.5000  0.00
Sc 0.0000 0.0000 0.0000  0.10
Sc 0.5000 0.5000 0.0000  0.10
Ag 0.8671 0.3671 0.0000  0.00
Ag 0.6329 0.8671 0.0000  0.00
Ag 0.1329 0.6329 0.0000  0.00
Ag 0.3671 0.1329 0.0000  0.00



Density functional theory data (PBE) for crystalline CsScAgTe2 at its relaxed geometry.

Properties
total magnetization = 0.19 μB/atom
energy = -4.041 eV per atom
space-group type = No. 67
Fermi-level density of states = 5.76 states/eV/cell

a b c (Å): 6.5346 8.8727 6.7504
angles (deg): 112.37 90.00 90.00
Site moments in Bohr magnetons follow the coordinates.
Fractional coordinates of all 10 atoms:
Cs 0.2215 0.5000 0.7500  0.01
Cs 0.7785 0.5000 0.2500  0.01
Sc 0.4998 0.0000 0.2500  0.55
Sc 0.5002 0.0000 0.7500  0.55
Ag 0.0000 0.0000 0.0000  0.01
Ag 0.0000 0.0000 0.5000  0.01
Te 0.7112 0.7688 0.8845  -0.01
Te 0.7112 0.2312 0.6155  -0.01
Te 0.2888 0.7688 0.3845  -0.01
Te 0.2888 0.2312 0.1155  -0.01



Density functional theory data (PBE) for crystalline CsAg2Se4 at its relaxed geometry.

Properties
total magnetization = 0.00 μB/atom
energy = -2.314 eV per atom
space-group type = No. 139
Fermi-level density of states = 9.68 states/eV/cell

a b c (Å): 5.6574 5.6574 8.6628
angles (deg): 70.94 70.94 90.00
Fractional coordinates of all 7 atoms:
Cs 0.0000 0.0000 0.0000
Se 0.7493 0.7493 0.5014
Se 0.2507 0.2507 0.4986
Se 0.0000 0.5000 0.0000
Se 0.5000 0.0000 0.0000
Ag 0.5881 0.5881 0.8239
Ag 0.4119 0.4119 0.1761



Density functional theory data (PBE) for crystalline CsAg4Se2 at its relaxed geometry.

Properties
E above lowest polymorph = 0.0000 eV/atom
total magnetization = 0.00 μB/atom
space-group type = No. 65
Fermi-level density of states = 2.34 states/eV/cell

a b c (Å): 4.4721 4.3857 9.3376
angles (deg): 103.58 90.00 90.00
Fractional coordinates of all 7 atoms:
Cs 0.0000 0.0000 0.0000
Ag 0.5000 0.8022 0.6044
Ag 0.0000 0.6937 0.3875
Ag 0.5000 0.1978 0.3956
Ag 0.0000 0.3063 0.6125
Se 0.5000 0.6112 0.2224
Se 0.5000 0.3888 0.7776



Density functional theory data (PBE) for crystalline Cs2AgSe at its relaxed geometry.

Properties
E above lowest polymorph = 0.0000 eV/atom
total magnetization = 0.00 μB/atom
space-group type = No. 225
Fermi-level density of states = 2.86 states/eV/cell

a b c (Å): 6.1346 6.1346 6.1346
angles (deg): 60.00 60.00 60.00
Fractional coordinates of all 4 atoms:
Cs 0.2500 0.2500 0.2500
Cs 0.7500 0.7500 0.7500
Se 0.0000 0.0000 0.0000
Ag 0.5000 0.5000 0.5000



Density functional theory data (PBE) for crystalline Cs4AgSe2 at its relaxed geometry.

Properties
total magnetization = 0.08 μB/atom
energy = -2.635 eV per atom
space-group type = No. 166
Fermi-level density of states = 3.02 states/eV/cell

a b c (Å): 6.2432 6.2432 10.8882
angles (deg): 73.34 73.34 60.00
Fractional coordinates of all 7 atoms:
Cs 0.3885 0.3885 0.8346
Cs 0.2043 0.2043 0.3872
Cs 0.7957 0.7957 0.6128
Cs 0.6115 0.6115 0.1654
Ag 0.0000 0.0000 0.0000
Se 0.0816 0.0816 0.7551
Se 0.9184 0.9184 0.2449



Density functional theory data (PBE) for crystalline CsAgSe at its relaxed geometry.

Properties
total magnetization = 0.00 μB/atom
energy = -2.767 eV per atom
space-group type = No. 107
Fermi-level density of states = 0.86 states/eV/cell

a b c (Å): 3.9945 3.9945 6.8346
angles (deg): 106.99 106.99 90.00
Fractional coordinates of all 3 atoms:
Cs 0.0059 0.0059 0.0117
Se 0.7284 0.7284 0.4569
Ag 0.2657 0.2657 0.5314